Entry 1:
Entry from OQMD via LeMat-Bulk: LaLuTe after structural relaxation (PBE-GGA).

Geometry as CIF:
```
data_LaLuTe
_chemical_formula_sum 'La4 Lu4 Te4'
_cell_length_a 7.5879
_cell_length_b 7.5879
_cell_length_c 7.5879
_cell_angle_alpha 90.00
_cell_angle_beta 90.00
_cell_angle_gamma 90.00
_symmetry_space_group_name_H-M 'P 1'
_symmetry_Int_Tables_number 1
loop_
_symmetry_equiv_pos_as_xyz
'x,y,z'
loop_
_atom_site_label
_atom_site_type_symbol
_atom_site_fract_x
_atom_site_fract_y
_atom_site_fract_z
La1 La 0.0000 0.0000 0.0000
La2 La 0.0000 0.5000 0.5000
La3 La 0.5000 0.0000 0.5000
La4 La 0.5000 0.5000 0.0000
Lu1 Lu 0.2500 0.2500 0.7500
Lu2 Lu 0.2500 0.7500 0.2500
Lu3 Lu 0.7500 0.2500 0.2500
Lu4 Lu 0.7500 0.7500 0.7500
Te1 Te 0.2500 0.2500 0.2500
Te2 Te 0.2500 0.7500 0.7500
Te3 Te 0.7500 0.2500 0.7500
Te4 Te 0.7500 0.7500 0.2500
```

Properties
Symmetry: No. 216
Calculated total energy (hartree per atom): -0.152

=====

Entry 2:
Entry from OQMD via LeMat-Bulk: LaLuTe after structural relaxation (PBE-GGA).

Geometry as CIF:
```
data_LaLuTe
_chemical_formula_sum 'La4 Lu4 Te4'
_cell_length_a 7.3545
_cell_length_b 7.3545
_cell_length_c 7.3545
_cell_angle_alpha 90.00
_cell_angle_beta 90.00
_cell_angle_gamma 90.00
_symmetry_space_group_name_H-M 'P 1'
_symmetry_Int_Tables_number 1
loop_
_symmetry_equiv_pos_as_xyz
'x,y,z'
loop_
_atom_site_label
_atom_site_type_symbol
_atom_site_fract_x
_atom_site_fract_y
_atom_site_fract_z
La1 La 0.0000 0.0000 0.0000
La2 La 0.0000 0.5000 0.5000
La3 La 0.5000 0.0000 0.5000
La4 La 0.5000 0.5000 0.0000
Lu1 Lu 0.0000 0.0000 0.5000
Lu2 Lu 0.0000 0.5000 0.0000
Lu3 Lu 0.5000 0.0000 0.0000
Lu4 Lu 0.5000 0.5000 0.5000
Te1 Te 0.2500 0.2500 0.2500
Te2 Te 0.2500 0.7500 0.7500
Te3 Te 0.7500 0.2500 0.7500
Te4 Te 0.7500 0.7500 0.2500
```

Properties
Symmetry: No. 216
Calculated total energy (hartree per atom): -0.172

=====

Entry 3:
Entry from OQMD via LeMat-Bulk: LaLuTlTe3 after structural relaxation (PBE-GGA).

Geometry as CIF:
```
data_LaLuTlTe3
_chemical_formula_sum 'La2 Lu2 Tl2 Te6'
_cell_length_a 8.0330
_cell_length_b 8.0330
_cell_length_c 12.4812
_cell_angle_alpha 90.00
_cell_angle_beta 90.00
_cell_angle_gamma 146.59
_symmetry_space_group_name_H-M 'P 1'
_symmetry_Int_Tables_number 1
loop_
_symmetry_equiv_pos_as_xyz
'x,y,z'
loop_
_atom_site_label
_atom_site_type_symbol
_atom_site_fract_x
_atom_site_fract_y
_atom_site_fract_z
La1 La 0.0000 0.0000 0.0000
La2 La 0.0000 0.0000 0.5000
Lu1 Lu 0.4539 0.5461 0.7500
Lu2 Lu 0.5461 0.4539 0.2500
Tl1 Tl 0.2449 0.7551 0.2500
Tl2 Tl 0.7551 0.2449 0.7500
Te1 Te 0.0718 0.9282 0.7500
Te2 Te 0.3559 0.6441 0.5533
Te3 Te 0.3559 0.6441 0.9467
Te4 Te 0.6441 0.3559 0.0533
Te5 Te 0.6441 0.3559 0.4467
Te6 Te 0.9282 0.0718 0.2500
```

Properties
Symmetry: No. 63
Calculated total energy (hartree per atom): -0.167

=====

Entry 4:
Entry from OQMD via LeMat-Bulk: LaLuTh after structural relaxation (PBE-GGA).

Geometry as CIF:
```
data_LaLuTh
_chemical_formula_sum 'La4 Lu4 Th4'
_cell_length_a 7.7679
_cell_length_b 7.7679
_cell_length_c 7.7679
_cell_angle_alpha 90.00
_cell_angle_beta 90.00
_cell_angle_gamma 90.00
_symmetry_space_group_name_H-M 'P 1'
_symmetry_Int_Tables_number 1
loop_
_symmetry_equiv_pos_as_xyz
'x,y,z'
loop_
_atom_site_label
_atom_site_type_symbol
_atom_site_fract_x
_atom_site_fract_y
_atom_site_fract_z
La1 La 0.0000 0.0000 0.0000
La2 La 0.0000 0.5000 0.5000
La3 La 0.5000 0.0000 0.5000
La4 La 0.5000 0.5000 0.0000
Lu1 Lu 0.0000 0.0000 0.5000
Lu2 Lu 0.0000 0.5000 0.0000
Lu3 Lu 0.5000 0.0000 0.0000
Lu4 Lu 0.5000 0.5000 0.5000
Th1 Th 0.2500 0.2500 0.2500
Th2 Th 0.2500 0.7500 0.7500
Th3 Th 0.7500 0.2500 0.7500
Th4 Th 0.7500 0.7500 0.2500
```

Properties
Energy of formation from the pure elements (eV/atom): 0.81
Symmetry: No. 216
Calculated total energy (hartree per atom): -0.177

=====

Entry 5:
Entry from OQMD via LeMat-Bulk: LaLuU after structural relaxation (PBE-GGA).

Geometry as CIF:
```
data_LaLuU
_chemical_formula_sum 'La4 Lu4 U4'
_cell_length_a 7.2086
_cell_length_b 7.2086
_cell_length_c 7.2086
_cell_angle_alpha 90.00
_cell_angle_beta 90.00
_cell_angle_gamma 90.00
_symmetry_space_group_name_H-M 'P 1'
_symmetry_Int_Tables_number 1
loop_
_symmetry_equiv_pos_as_xyz
'x,y,z'
loop_
_atom_site_label
_atom_site_type_symbol
_atom_site_fract_x
_atom_site_fract_y
_atom_site_fract_z
La1 La 0.0000 0.0000 0.0000
La2 La 0.0000 0.5000 0.5000
La3 La 0.5000 0.0000 0.5000
La4 La 0.5000 0.5000 0.0000
Lu1 Lu 0.2500 0.2500 0.7500
Lu2 Lu 0.2500 0.7500 0.2500
Lu3 Lu 0.7500 0.2500 0.2500
Lu4 Lu 0.7500 0.7500 0.7500
U1 U 0.2500 0.2500 0.2500
U2 U 0.2500 0.7500 0.7500
U3 U 0.7500 0.2500 0.7500
U4 U 0.7500 0.7500 0.2500
```

Properties
Energy of formation from the pure elements (eV/atom): 1.19
Symmetry: No. 216
Calculated total energy (hartree per atom): -0.210

=====

Entry 6:
Entry from OQMD via LeMat-Bulk: LaYLu after structural relaxation (PBE-GGA).

Geometry as CIF:
```
data_LaYLu
_chemical_formula_sum 'La4 Y4 Lu4'
_cell_length_a 7.7359
_cell_length_b 7.7359
_cell_length_c 7.7359
_cell_angle_alpha 90.00
_cell_angle_beta 90.00
_cell_angle_gamma 90.00
_symmetry_space_group_name_H-M 'P 1'
_symmetry_Int_Tables_number 1
loop_
_symmetry_equiv_pos_as_xyz
'x,y,z'
loop_
_atom_site_label
_atom_site_type_symbol
_atom_site_fract_x
_atom_site_fract_y
_atom_site_fract_z
La1 La 0.0000 0.0000 0.0000
La2 La 0.0000 0.5000 0.5000
La3 La 0.5000 0.0000 0.5000
La4 La 0.5000 0.5000 0.0000
Y1 Y 0.0000 0.0000 0.5000
Y2 Y 0.0000 0.5000 0.0000
Y3 Y 0.5000 0.0000 0.0000
Y4 Y 0.5000 0.5000 0.5000
Lu1 Lu 0.2500 0.2500 0.2500
Lu2 Lu 0.2500 0.7500 0.7500
Lu3 Lu 0.7500 0.2500 0.7500
Lu4 Lu 0.7500 0.7500 0.2500
```

Properties
Energy of formation from the pure elements (eV/atom): 0.69
Symmetry: No. 216
Calculated total energy (hartree per atom): -0.170

=====

Entry 7:
Entry from OQMD via LeMat-Bulk: LaMgTcMo after structural relaxation (PBE-GGA).

Geometry as CIF:
```
data_LaMgTcMo
_chemical_formula_sum 'La4 Mg4 Tc4 Mo4'
_cell_length_a 6.7773
_cell_length_b 6.7773
_cell_length_c 6.7773
_cell_angle_alpha 90.00
_cell_angle_beta 90.00
_cell_angle_gamma 90.00
_symmetry_space_group_name_H-M 'P 1'
_symmetry_Int_Tables_number 1
loop_
_symmetry_equiv_pos_as_xyz
'x,y,z'
loop_
_atom_site_label
_atom_site_type_symbol
_atom_site_fract_x
_atom_site_fract_y
_atom_site_fract_z
La1 La 0.0000 0.0000 0.0000
La2 La 0.0000 0.5000 0.5000
La3 La 0.5000 0.0000 0.5000
La4 La 0.5000 0.5000 0.0000
Mg1 Mg 0.2500 0.2500 0.2500
Mg2 Mg 0.2500 0.7500 0.7500
Mg3 Mg 0.7500 0.2500 0.7500
Mg4 Mg 0.7500 0.7500 0.2500
Tc1 Tc 0.0000 0.0000 0.5000
Tc2 Tc 0.0000 0.5000 0.0000
Tc3 Tc 0.5000 0.0000 0.0000
Tc4 Tc 0.5000 0.5000 0.5000
Mo1 Mo 0.2500 0.2500 0.7500
Mo2 Mo 0.2500 0.7500 0.2500
Mo3 Mo 0.7500 0.2500 0.2500
Mo4 Mo 0.7500 0.7500 0.7500
```

Properties
Symmetry: No. 216
Calculated total energy (hartree per atom): -0.238

=====

Entry 8:
Entry from OQMD via LeMat-Bulk: LaMgTcMo after structural relaxation (PBE-GGA).

Geometry as CIF:
```
data_LaMgTcMo
_chemical_formula_sum 'La4 Mg4 Tc4 Mo4'
_cell_length_a 6.8241
_cell_length_b 6.8241
_cell_length_c 6.8241
_cell_angle_alpha 90.00
_cell_angle_beta 90.00
_cell_angle_gamma 90.00
_symmetry_space_group_name_H-M 'P 1'
_symmetry_Int_Tables_number 1
loop_
_symmetry_equiv_pos_as_xyz
'x,y,z'
loop_
_atom_site_label
_atom_site_type_symbol
_atom_site_fract_x
_atom_site_fract_y
_atom_site_fract_z
La1 La 0.0000 0.0000 0.0000
La2 La 0.0000 0.5000 0.5000
La3 La 0.5000 0.0000 0.5000
La4 La 0.5000 0.5000 0.0000
Mg1 Mg 0.2500 0.2500 0.7500
Mg2 Mg 0.2500 0.7500 0.2500
Mg3 Mg 0.7500 0.2500 0.2500
Mg4 Mg 0.7500 0.7500 0.7500
Tc1 Tc 0.2500 0.2500 0.2500
Tc2 Tc 0.2500 0.7500 0.7500
Tc3 Tc 0.7500 0.2500 0.7500
Tc4 Tc 0.7500 0.7500 0.2500
Mo1 Mo 0.0000 0.0000 0.5000
Mo2 Mo 0.0000 0.5000 0.0000
Mo3 Mo 0.5000 0.0000 0.0000
Mo4 Mo 0.5000 0.5000 0.5000
```

Properties
Symmetry: No. 216
Calculated total energy (hartree per atom): -0.236

=====

Entry 9:
Entry from OQMD via LeMat-Bulk: LaMgTcMo after structural relaxation (PBE-GGA).

Geometry as CIF:
```
data_LaMgTcMo
_chemical_formula_sum 'La4 Mg4 Tc4 Mo4'
_cell_length_a 6.7209
_cell_length_b 6.7209
_cell_length_c 6.7209
_cell_angle_alpha 90.00
_cell_angle_beta 90.00
_cell_angle_gamma 90.00
_symmetry_space_group_name_H-M 'P 1'
_symmetry_Int_Tables_number 1
loop_
_symmetry_equiv_pos_as_xyz
'x,y,z'
loop_
_atom_site_label
_atom_site_type_symbol
_atom_site_fract_x
_atom_site_fract_y
_atom_site_fract_z
La1 La 0.0000 0.0000 0.0000
La2 La 0.0000 0.5000 0.5000
La3 La 0.5000 0.0000 0.5000
La4 La 0.5000 0.5000 0.0000
Mg1 Mg 0.0000 0.0000 0.5000
Mg2 Mg 0.0000 0.5000 0.0000
Mg3 Mg 0.5000 0.0000 0.0000
Mg4 Mg 0.5000 0.5000 0.5000
Tc1 Tc 0.2500 0.2500 0.7500
Tc2 Tc 0.2500 0.7500 0.2500
Tc3 Tc 0.7500 0.2500 0.2500
Tc4 Tc 0.7500 0.7500 0.7500
Mo1 Mo 0.2500 0.2500 0.2500
Mo2 Mo 0.2500 0.7500 0.7500
Mo3 Mo 0.7500 0.2500 0.7500
Mo4 Mo 0.7500 0.7500 0.2500
```

Properties
Symmetry: No. 216
Calculated total energy (hartree per atom): -0.231

=====

Entry 10:
Entry from OQMD via LeMat-Bulk: LaMgNbOs after structural relaxation (PBE-GGA).

Geometry as CIF:
```
data_LaMgNbOs
_chemical_formula_sum 'La4 Mg4 Nb4 Os4'
_cell_length_a 6.7740
_cell_length_b 6.7740
_cell_length_c 6.7740
_cell_angle_alpha 90.00
_cell_angle_beta 90.00
_cell_angle_gamma 90.00
_symmetry_space_group_name_H-M 'P 1'
_symmetry_Int_Tables_number 1
loop_
_symmetry_equiv_pos_as_xyz
'x,y,z'
loop_
_atom_site_label
_atom_site_type_symbol
_atom_site_fract_x
_atom_site_fract_y
_atom_site_fract_z
La1 La 0.0000 0.0000 0.0000
La2 La 0.0000 0.5000 0.5000
La3 La 0.5000 0.0000 0.5000
La4 La 0.5000 0.5000 0.0000
Mg1 Mg 0.0000 0.0000 0.5000
Mg2 Mg 0.0000 0.5000 0.0000
Mg3 Mg 0.5000 0.0000 0.0000
Mg4 Mg 0.5000 0.5000 0.5000
Nb1 Nb 0.2500 0.2500 0.7500
Nb2 Nb 0.2500 0.7500 0.2500
Nb3 Nb 0.7500 0.2500 0.2500
Nb4 Nb 0.7500 0.7500 0.7500
Os1 Os 0.2500 0.2500 0.2500
Os2 Os 0.2500 0.7500 0.7500
Os3 Os 0.7500 0.2500 0.7500
Os4 Os 0.7500 0.7500 0.2500
```

Properties
Symmetry: No. 216
Calculated total energy (hartree per atom): -0.237

=====

Entry 11:
Entry from OQMD via LeMat-Bulk: LaMgNbOs after structural relaxation (PBE-GGA).

Geometry as CIF:
```
data_LaMgNbOs
_chemical_formula_sum 'La4 Mg4 Nb4 Os4'
_cell_length_a 6.9228
_cell_length_b 6.9228
_cell_length_c 6.9228
_cell_angle_alpha 90.00
_cell_angle_beta 90.00
_cell_angle_gamma 90.00
_symmetry_space_group_name_H-M 'P 1'
_symmetry_Int_Tables_number 1
loop_
_symmetry_equiv_pos_as_xyz
'x,y,z'
loop_
_atom_site_label
_atom_site_type_symbol
_atom_site_fract_x
_atom_site_fract_y
_atom_site_fract_z
La1 La 0.0000 0.0000 0.0000
La2 La 0.0000 0.5000 0.5000
La3 La 0.5000 0.0000 0.5000
La4 La 0.5000 0.5000 0.0000
Mg1 Mg 0.2500 0.2500 0.2500
Mg2 Mg 0.2500 0.7500 0.7500
Mg3 Mg 0.7500 0.2500 0.7500
Mg4 Mg 0.7500 0.7500 0.2500
Nb1 Nb 0.0000 0.0000 0.5000
Nb2 Nb 0.0000 0.5000 0.0000
Nb3 Nb 0.5000 0.0000 0.0000
Nb4 Nb 0.5000 0.5000 0.5000
Os1 Os 0.2500 0.2500 0.7500
Os2 Os 0.2500 0.7500 0.2500
Os3 Os 0.7500 0.2500 0.2500
Os4 Os 0.7500 0.7500 0.7500
```

Properties
Symmetry: No. 216
Calculated total energy (hartree per atom): -0.243

=====

Entry 12:
Entry from OQMD via LeMat-Bulk: LaMgNbOs after structural relaxation (PBE-GGA).

Geometry as CIF:
```
data_LaMgNbOs
_chemical_formula_sum 'La4 Mg4 Nb4 Os4'
_cell_length_a 6.7981
_cell_length_b 6.7981
_cell_length_c 6.7981
_cell_angle_alpha 90.00
_cell_angle_beta 90.00
_cell_angle_gamma 90.00
_symmetry_space_group_name_H-M 'P 1'
_symmetry_Int_Tables_number 1
loop_
_symmetry_equiv_pos_as_xyz
'x,y,z'
loop_
_atom_site_label
_atom_site_type_symbol
_atom_site_fract_x
_atom_site_fract_y
_atom_site_fract_z
La1 La 0.0000 0.0000 0.0000
La2 La 0.0000 0.5000 0.5000
La3 La 0.5000 0.0000 0.5000
La4 La 0.5000 0.5000 0.0000
Mg1 Mg 0.2500 0.2500 0.7500
Mg2 Mg 0.2500 0.7500 0.2500
Mg3 Mg 0.7500 0.2500 0.2500
Mg4 Mg 0.7500 0.7500 0.7500
Nb1 Nb 0.2500 0.2500 0.2500
Nb2 Nb 0.2500 0.7500 0.7500
Nb3 Nb 0.7500 0.2500 0.7500
Nb4 Nb 0.7500 0.7500 0.2500
Os1 Os 0.0000 0.0000 0.5000
Os2 Os 0.0000 0.5000 0.0000
Os3 Os 0.5000 0.0000 0.0000
Os4 Os 0.5000 0.5000 0.5000
```

Properties
Symmetry: No. 216
Calculated total energy (hartree per atom): -0.246

=====

What magnetization values result from the calculations? In sequence: 0.4 1.4 0.0 1.8 4.2 0.0 0.0 0.0 0.6 0.3 0.0 0.0 μB/f.u..